(1)
FePbW2 after structural relaxation, computed with PBE-GGA.

DOS(E_F): 0.97 states/eV/atom
magnetic moment: 0.3795 μB/atom
formation enthalpy at 0 K: 744 meV/atom
raw total energy: -8.775 eV per atom

a = 3.9160 Å, b = 4.4833 Å, c = 7.8024 Å
α = 90.00°, β = 90.00°, γ = 90.00°
Last column: nearest neighbours and their distance in Å.
Space group Cmmm (No. 65)
Asymmetric unit:
Fe: 0.0000 0.0000 0.0000 (multiplicity 2)  8 W 2.50-2.73
Pb: 0.0000 0.0000 0.5000 (multiplicity 2)  4 Pb 2.98, 8 W 3.06-3.25
W: 0.0000 0.5000 0.1989 (multiplicity 4)  4 Fe 2.50-2.73



(2)
FePbW2 after structural relaxation, computed with PBE-GGA.

DOS(E_F): 1.29 states/eV/atom
magnetic moment: 0.3459 μB/atom
formation enthalpy at 0 K: 849 meV/atom
raw total energy: -8.671 eV per atom

a = 2.9391 Å, b = 2.9391 Å, c = 28.0586 Å
α = 90.00°, β = 90.00°, γ = 120.00°
Last column: nearest neighbours and their distance in Å.
Space group R-3m (No. 166, hexagonal axes)
Asymmetric unit:
Fe: 0.0000 0.0000 0.0000 (multiplicity 3)  6 W 2.61
Pb: 0.0000 0.0000 0.5000 (multiplicity 3)  6 Pb 2.94, 6 W 3.18
W: 0.0000 0.0000 0.2626 (multiplicity 6)  3 Fe 2.61



(3)
FePb2W after structural relaxation, computed with PBE-GGA.

DOS(E_F): 1.05 states/eV/atom
magnetic moment: 0.7060 μB/atom
ΔE to the lowest computed polymorph: 63.3 kJ/mol of atoms
formation enthalpy at 0 K: 1088 meV/atom
raw total energy: -6.120 eV per atom

a = 3.0680 Å, b = 4.4824 Å, c = 5.9902 Å
α = 90.00°, β = 98.65°, γ = 90.00°
Last column: nearest neighbours and their distance in Å.
Space group P2/m (No. 10)
Asymmetric unit:
Fe: 0.0000 0.0000 0.0000 (multiplicity 1)  4 Pb 2.81, 2 Fe 3.07
Pb: 0.2134 0.5000 0.7544 (multiplicity 2)  2 Fe 2.81, 2 W 2.92, 3 Pb 3.07-3.13
W: 0.5000 0.0000 0.5000 (multiplicity 1)  4 Pb 2.92, 2 W 3.07, 2 Fe 3.15



(4)
FePb2W after structural relaxation, computed with PBE-GGA.

DOS(E_F): 1.99 states/eV/atom
magnetic moment: 0.0000 μB/atom
ΔE to the lowest computed polymorph: 100.3 kJ/mol of atoms
formation enthalpy at 0 K: 1472 meV/atom
raw total energy: -5.737 eV per atom

a = 7.5709 Å, b = 7.5709 Å, c = 5.7413 Å
α = 90.00°, β = 90.00°, γ = 90.00°
Last column: nearest neighbours and their distance in Å.
Space group I-42d (No. 122)
Asymmetric unit:
Fe: 0.0000 0.0000 0.0000 (multiplicity 4)  4 Pb 2.61, 2 W 2.87
Pb: 0.2167 0.2500 0.1250 (multiplicity 8)  2 Fe 2.61, 2 Pb 2.91
W: 0.0000 0.0000 0.5000 (multiplicity 4)  2 Fe 2.87, 4 Pb 2.95



(5)
FePb2W after structural relaxation, computed with PBE-GGA.

DOS(E_F): 0.95 states/eV/atom
magnetic moment: 0.7661 μB/atom
ΔE to the lowest computed polymorph: 57.4 kJ/mol of atoms
formation enthalpy at 0 K: 1028 meV/atom
raw total energy: -6.180 eV per atom

a = 3.5275 Å, b = 3.5275 Å, c = 6.3729 Å
α = 90.00°, β = 90.00°, γ = 90.00°
Last column: nearest neighbours and their distance in Å.
Space group P4/mmm (No. 123)
Asymmetric unit:
Fe: 0.0000 0.0000 0.0000 (multiplicity 1)  8 Pb 2.95, 2 W 3.19
Pb: 0.5000 0.5000 0.2472 (multiplicity 2)  4 Fe 2.95, 4 W 2.97, 2 Pb 3.15-3.22
W: 0.0000 0.0000 0.5000 (multiplicity 1)  8 Pb 2.97, 2 Fe 3.19



(6)
FePb2W after structural relaxation, computed with PBE-GGA.

DOS(E_F): 0.91 states/eV/atom
magnetic moment: 0.4955 μB/atom
ΔE to the lowest computed polymorph: 75.2 kJ/mol of atoms
formation enthalpy at 0 K: 1212 meV/atom
raw total energy: -5.996 eV per atom

a = 6.9402 Å, b = 6.9402 Å, c = 6.9402 Å
α = 90.00°, β = 90.00°, γ = 90.00°
Last column: nearest neighbours and their distance in Å.
Space group F-43m (No. 216)
Asymmetric unit:
Fe: 0.0000 0.0000 0.0000 (multiplicity 4)  4 W 3.01, 4 Pb 3.01
Pb: 0.0000 0.0000 0.5000 (multiplicity 4)  4 Pb 3.01, 4 W 3.01
Pb: 0.2500 0.2500 0.2500 (multiplicity 4)  4 Fe 3.01, 4 Pb 3.01
W: 0.2500 0.2500 0.7500 (multiplicity 4)  4 Pb 3.01, 4 Fe 3.01



- Which value of formation enthalpy at 0 K does entry 1 give?
  744 meV/atom



- Look up the raw total energy of the fourth one.
  -5.737 eV per atom



- Among the records above, which one has the lowest formation enthalpy at 0 K?
  number 1